# Ga6Co5Ru

A relaxed Ga6Co5Ru crystal (PBE, the Alexandria database).

Cell: 6.4982 6.4982 5.8327 Å, 90.00 90.00 143.14°
Element x y z (fractional)
1 Ga 0.0000 0.0000 0.2420
2 Ga 0.0000 0.0000 0.7580
3 Ga 0.3309 0.6691 0.2472
4 Ga 0.3309 0.6691 0.7528
5 Ga 0.6691 0.3309 0.2472
6 Ga 0.6691 0.3309 0.7528
7 Co 0.1679 0.8321 0.0000
8 Co 0.1686 0.8314 0.5000
9 Co 0.5000 0.5000 0.0000
10 Co 0.8314 0.1686 0.5000
11 Co 0.8321 0.1679 0.0000
12 Ru 0.5000 0.5000 0.5000

Computed properties:
Energy relative to the elements   -294.3 meV/atom
Space group   Cmmm